Record 1
LaThSc3, optimized geometry, DFT PBE; formation enthalpy at 0 K = 0.427 eV per atom; relative energy among the computed polymorphs = 0.3728 eV/atom
1.0
4.989 -2.886 0.000
4.989 2.886 0.000
-3.333 0.000 10.660
La Th Sc
2 2 6
direct
0.250 0.750 0.500
0.750 0.250 0.000
0.416 0.915 0.998
0.915 0.416 0.498
0.175 0.995 0.249
0.330 0.493 0.748
0.493 0.330 0.248
0.676 0.828 0.749
0.828 0.676 0.249
0.995 0.175 0.749



Record 2
CaBrO4, optimized geometry, DFT PBE; ΔE_f (raw) = -0.786 eV/atom
1.0
7.861 0.000 0.000
0.000 6.107 0.000
0.000 0.000 7.556
Ca Br O
4 4 16
direct
0.249 0.250 0.249
0.251 0.750 0.749
0.749 0.250 0.251
0.751 0.750 0.751
0.001 0.250 0.696
0.499 0.750 0.196
0.501 0.250 0.804
0.999 0.750 0.304
0.001 0.540 0.769
0.001 0.960 0.769
0.175 0.250 0.567
0.175 0.750 0.432
0.325 0.250 0.932
0.325 0.750 0.067
0.499 0.040 0.269
0.499 0.460 0.269
0.501 0.540 0.731
0.501 0.960 0.731
0.675 0.250 0.933
0.675 0.750 0.068
0.825 0.250 0.568
0.825 0.750 0.433
0.999 0.040 0.231
0.999 0.460 0.231



Record 3
Sr3Pr2YTe6, optimized geometry, DFT PBE; ΔE_f (raw) = -1.544 eV/atom
1.0
3.947 -6.827 0.000
3.947 6.827 0.000
-2.633 0.000 7.635
Sr Pr Y Te
3 2 1 6
direct
0.000 0.000 0.000
0.330 0.670 0.000
0.670 0.330 0.000
0.165 0.835 0.500
0.835 0.165 0.500
0.500 0.500 0.500
0.096 0.421 0.262
0.256 0.256 0.741
0.421 0.096 0.262
0.579 0.904 0.738
0.744 0.744 0.259
0.904 0.579 0.738



Record 4
La2Nd5Y6, optimized geometry, DFT PBE; formation enthalpy at 0 K = 0.090 eV per atom
1.0
11.909 0.000 0.000
0.000 20.800 0.000
0.000 0.000 3.635
La Nd Y
4 10 12
direct
0.169 0.219 0.000
0.331 0.719 0.000
0.669 0.281 0.000
0.831 0.781 0.000
0.000 0.500 0.500
0.091 0.780 0.500
0.203 0.051 0.500
0.297 0.551 0.500
0.409 0.280 0.500
0.500 0.000 0.500
0.591 0.720 0.500
0.703 0.449 0.500
0.797 0.949 0.500
0.909 0.220 0.500
0.059 0.924 0.000
0.076 0.636 0.000
0.182 0.374 0.500
0.318 0.874 0.500
0.424 0.136 0.000
0.441 0.424 0.000
0.559 0.576 0.000
0.576 0.864 0.000
0.682 0.126 0.500
0.818 0.626 0.500
0.924 0.364 0.000
0.941 0.076 0.000



Record 5
Pr4BCl4, optimized geometry, DFT PBE; ΔE_f (raw) = -1.476 eV/atom
1.0
6.723 -2.016 0.000
6.723 2.016 0.000
-5.597 0.000 8.973
Pr B Cl
4 1 4
direct
0.092 0.092 0.423
0.314 0.314 0.231
0.686 0.686 0.769
0.908 0.908 0.577
0.500 0.500 0.500
0.105 0.105 0.892
0.320 0.320 0.723
0.680 0.680 0.277
0.895 0.895 0.108



Record 6
Ca2CdPtC, optimized geometry, DFT PBE; formation enthalpy at 0 K = -0.352 eV per atom
1.0
5.232 0.000 0.000
0.000 5.232 0.000
0.000 0.000 3.900
Ca Cd Pt C
2 1 1 1
direct
0.000 0.500 0.000
0.500 0.000 0.000
0.000 0.000 0.500
0.500 0.500 0.500
0.500 0.500 0.000



Record 7
InCuSb2, optimized geometry, DFT PBE; ΔE_f (raw) = 0.304 eV/atom
1.0
3.173 -3.894 0.000
3.173 3.894 0.000
0.000 0.000 3.834
In Cu Sb
1 1 2
direct
0.000 0.000 0.000
0.500 0.500 0.000
0.000 0.500 0.500
0.500 0.000 0.500



Record 8
CsMnTe2, optimized geometry, DFT PBE; ΔE_f (raw) = -0.497 eV/atom
1.0
-4.495 4.495 3.920
4.495 -4.495 3.920
4.495 4.495 -3.920
Cs Mn Te
2 2 4
direct
0.250 0.250 0.000
0.750 0.750 0.000
0.250 0.750 0.500
0.750 0.250 0.500
0.142 0.642 0.784
0.358 0.142 0.500
0.642 0.858 0.500
0.858 0.358 0.216



Record 9
TeMo3, optimized geometry, DFT PBE; relative energy among the computed polymorphs = 0.0854 eV/atom; ΔE_f (raw) = 0.389 eV/atom
1.0
3.195 0.000 0.000
0.000 4.796 0.000
0.000 0.000 4.512
Te Mo
1 3
direct
0.000 0.000 0.000
0.000 0.500 0.645
0.500 0.000 0.479
0.500 0.500 0.161



Record 10
Pu2UNb, optimized geometry, DFT PBE; formation enthalpy at 0 K = 0.557 eV per atom
1.0
1.470 0.849 11.497
-1.470 0.849 11.497
0.000 -1.697 11.497
Pu U Nb
2 1 1
direct
0.083 0.083 0.083
0.917 0.917 0.917
0.500 0.500 0.500
0.000 0.000 0.000



Record 11
BaRh2Se, optimized geometry, DFT PBE; ΔE_f (raw) = -0.491 eV/atom
1.0
-2.531 2.531 8.195
2.531 -2.531 8.195
2.531 2.531 -8.195
Ba Rh Se
2 4 2
direct
0.000 0.000 0.000
0.750 0.250 0.500
0.317 0.625 0.192
0.375 0.567 0.692
0.433 0.125 0.808
0.875 0.683 0.308
0.250 0.750 0.500
0.500 0.500 0.000



Record 12
ReIrBr2, optimized geometry, DFT PBE; relative energy among the computed polymorphs = 0.8468 eV/atom; ΔE_f (raw) = 1.097 eV/atom
1.0
-1.487 2.356 5.839
1.487 -2.356 5.839
1.487 2.356 -5.839
Re Ir Br
1 1 2
direct
0.000 0.000 0.000
0.827 0.327 0.500
0.203 0.703 0.500
0.512 0.512 0.000



| no. | M_tot (μB/f.u.) |
| --- | --- |
| 1 | 0.0 |
| 2 | 0.5 |
| 3 | 0.0 |
| 4 | 0.0 |
| 5 | 0.0 |
| 6 | 0.0 |
| 7 | 0.0 |
| 8 | 4.0 |
| 9 | 0.0 |
| 10 | 9.0 |
| 11 | 0.1 |
| 12 | 0.0 |